Ce2Sm3Bi3, relaxed, DFT PBE; N(E_F) = 30.7 states/eV/cell; SG = P6_3/mcm (193); formation energy from the elements = -0.705 eV/atom
1.0
9.473 0.000 0.000
-4.737 8.204 0.000
0.000 0.000 6.426
Ce Sm Bi
4 6 6
Cartesian
0.000 5.469 0.000 Ce
0.000 5.469 3.213 Ce
4.737 2.735 0.000 Ce
4.737 2.735 3.213 Ce
-1.185 2.052 1.607 Sm
-3.552 6.152 4.820 Sm
2.369 0.000 1.607 Sm
1.185 2.052 4.820 Sm
7.104 0.000 4.820 Sm
3.552 6.152 1.607 Sm
-1.820 3.152 4.820 Bi
-2.917 5.052 1.607 Bi
3.639 0.000 4.820 Bi
1.820 3.152 1.607 Bi
5.834 0.000 1.607 Bi
2.917 5.052 4.820 Bi